No. 1
The following is a DFT calculation (PBE) of a relaxed PrSmSb2 crystal.

POSCAR file:
```
PrSmSb2
1.0
4.516 0.000 0.000
0.000 6.382 0.000
0.000 0.000 9.026
Pr Sm Sb
2 2 4
direct
0.500 0.000 0.126 Pr
0.000 0.500 0.874 Pr
0.500 0.000 0.624 Sm
0.000 0.500 0.376 Sm
0.500 0.500 0.621 Sb
0.000 0.000 0.379 Sb
0.000 0.000 0.871 Sb
0.500 0.500 0.129 Sb
```

Results
- Formation energy from raw total energies: -1.1839 eV per atom
- Distance to the lowest polymorph of the same formula: 0.000 eV per atom
- Electronic total energy: -5.620 eV per atom
- Crystal system: orthorhombic

No. 2
The following is a DFT calculation (PBE) of a relaxed PrSm3Sb2 crystal.

POSCAR file:
```
PrSm3Sb2
1.0
-0.310 3.795 -2.303
-9.971 -1.455 3.244
7.187 3.984 5.598
Sb Sm Pr
4 6 2
direct
0.510 0.019 0.174 Sb
0.490 0.981 0.826 Sb
0.245 0.491 0.774 Sb
0.755 0.509 0.226 Sb
0.647 0.294 0.820 Sm
0.353 0.706 0.180 Sm
0.688 0.376 0.486 Sm
0.056 0.112 0.435 Sm
0.312 0.624 0.514 Sm
0.944 0.888 0.565 Sm
0.112 0.223 0.102 Pr
0.888 0.777 0.898 Pr
```

Results
- Formation energy from raw total energies: -0.7282 eV per atom
- Distance to the lowest polymorph of the same formula: 0.081 eV per atom
- Electronic total energy: -5.258 eV per atom
- Crystal system: monoclinic

No. 3
The following is a DFT calculation (PBE) of a relaxed PrSm3Sb3 crystal.

POSCAR file:
```
PrSm3Sb3
1.0
9.445 0.000 0.000
0.000 9.445 0.000
0.000 0.000 9.445
Sm Pr Sb
12 4 12
direct
0.180 0.820 0.320 Sm
0.573 0.073 0.427 Sm
0.180 0.180 0.180 Sm
0.927 0.927 0.927 Sm
0.820 0.680 0.320 Sm
0.320 0.820 0.680 Sm
0.427 0.573 0.073 Sm
0.680 0.680 0.680 Sm
0.680 0.320 0.820 Sm
0.073 0.427 0.573 Sm
0.820 0.320 0.180 Sm
0.320 0.180 0.820 Sm
0.930 0.070 0.570 Pr
0.430 0.430 0.430 Pr
0.570 0.930 0.070 Pr
0.070 0.570 0.930 Pr
0.123 0.499 0.253 Sb
0.999 0.247 0.877 Sb
0.253 0.123 0.499 Sb
0.747 0.623 0.001 Sb
0.499 0.253 0.123 Sb
0.877 0.999 0.247 Sb
0.753 0.377 0.501 Sb
0.623 0.001 0.747 Sb
0.377 0.501 0.753 Sb
0.247 0.877 0.999 Sb
0.001 0.747 0.623 Sb
0.501 0.753 0.377 Sb
```

Results
- Formation energy from raw total energies: -1.0507 eV per atom
- Distance to the lowest polymorph of the same formula: 0.000 eV per atom
- Electronic total energy: -5.523 eV per atom
- Crystal system: cubic